No. 1
# Cs2InH

A relaxed Cs2InH crystal (GGA-PBE, Alexandria).

## Properties
offset from the most stable computed form	0.01	eV/f.u.
space-group type	I-42d, No. 122
D(E_F)	1.3	states/eV/f.u.
density	3.4	g/cm3
raw total energy	-1.80	eV/atom

a = 9.0160 Å, b = 9.0160 Å, c = 7.8850 Å
α = 55.13°, β = 55.13°, γ = 90.00°
With the nearest neighbours (Å) after each atom.
Sites, in units of the cell vectors:
Cs: 0.5211 0.1250 0.2500  2 H 2.86
Cs: 0.2289 0.6250 0.2500  2 H 2.86
Cs: 0.3750 0.4789 0.7500  2 H 2.86
Cs: 0.8750 0.7711 0.7500  2 H 2.86
H: 0.5000 0.5000 0.0000  4 Cs 2.86
H: 0.2500 0.7500 0.5000  4 Cs 2.86
In: 0.0000 0.0000 0.0000  8 Cs 4.07-4.35
In: 0.7500 0.2500 0.5000  8 Cs 4.07-4.35

No. 2
# Cs2InH6

A relaxed Cs2InH6 crystal (GGA-PBE, Alexandria).

## Properties
offset from the most stable computed form	0.00	eV/f.u.
space-group type	C2/m, No. 12
D(E_F)	2.8	states/eV/f.u.
density	3.6	g/cm3
raw total energy	-2.62	eV/atom

a = 6.3108 Å, b = 6.4064 Å, c = 8.8721 Å
α = 90.00°, β = 92.14°, γ = 90.00°
With the nearest neighbours (Å) after each atom.
Sites, in units of the cell vectors:
Cs: 0.9911 0.5002 0.7474  12 H 3.14-3.22
Cs: 0.5089 0.0002 0.7526  12 H 3.14-3.22
Cs: 0.4911 0.9998 0.2474  12 H 3.14-3.22
Cs: 0.0089 0.4998 0.2526  12 H 3.14-3.22
In: 0.5000 0.5000 0.0000  6 H 1.91
In: 0.0000 0.0000 0.5000  6 H 1.91
H: 0.9935 0.0001 0.2849  1 In 1.91
H: 0.7853 0.7890 0.4967  1 In 1.91
H: 0.7148 0.7110 0.0032  1 In 1.91
H: 0.7852 0.2110 0.4968  1 In 1.91
H: 0.7147 0.2890 0.0033  1 In 1.91
H: 0.5065 0.5001 0.2151  1 In 1.91
H: 0.0065 0.9999 0.7151  1 In 1.91
H: 0.2147 0.2110 0.5033  1 In 1.91
H: 0.2852 0.2890 0.9968  1 In 1.91
H: 0.2148 0.7890 0.5032  1 In 1.91
H: 0.2853 0.7110 0.9967  1 In 1.91
H: 0.4935 0.4999 0.7849  1 In 1.91

No. 3
# Cs3InH

A relaxed Cs3InH crystal (GGA-PBE, Alexandria).

## Properties
offset from the most stable computed form	0.00	eV/f.u.
space-group type	Pm-3m, No. 221
D(E_F)	4.9	states/eV/f.u.
density	3.5	g/cm3
raw total energy	-1.72	eV/atom

a = 6.2221 Å, b = 6.2221 Å, c = 6.2221 Å
α = 90.00°, β = 90.00°, γ = 90.00°
With the nearest neighbours (Å) after each atom.
Sites, in units of the cell vectors:
Cs: 0.0000 0.5000 0.0000  2 H 3.11
Cs: 0.0000 0.0000 0.5000  2 H 3.11
Cs: 0.5000 0.0000 0.0000  2 H 3.11
H: 0.0000 0.0000 0.0000  6 Cs 3.11
In: 0.5000 0.5000 0.5000  12 Cs 4.40

No. 4
# Cs3In2H6

A relaxed Cs3In2H6 crystal (GGA-PBE, Alexandria).

## Properties
space-group type	Pnnm, No. 58
D(E_F)	4.3	states/eV/f.u.
density	3.4	g/cm3
raw total energy	-2.62	eV/atom

a = 6.0604 Å, b = 8.8316 Å, c = 11.4946 Å
α = 90.00°, β = 90.00°, γ = 90.00°
With the nearest neighbours (Å) after each atom.
Sites, in units of the cell vectors:
Cs: 0.5000 0.5000 0.5000  2 H 2.80
Cs: 0.0000 0.5000 0.8054  6 H 3.10-3.36
Cs: 0.0000 0.5000 0.1946  6 H 3.10-3.36
Cs: 0.5000 0.0000 0.3054  6 H 3.10-3.36
Cs: 0.5000 0.0000 0.6946  6 H 3.10-3.36
Cs: 0.0000 0.0000 0.0000  2 H 2.80
In: 0.5252 0.3368 0.0000  3 H 1.82-1.86
In: 0.0252 0.1632 0.5000  3 H 1.82-1.86
In: 0.9748 0.8368 0.5000  3 H 1.82-1.86
In: 0.4748 0.6632 0.0000  3 H 1.82-1.86
H: 0.2413 0.2701 0.0000  1 In 1.82
H: 0.1575 0.2660 0.3775  1 In 1.86
H: 0.1575 0.2660 0.6225  1 In 1.86
H: 0.6575 0.2340 0.8775  1 In 1.86
H: 0.6575 0.2340 0.1225  1 In 1.86
H: 0.7413 0.2299 0.5000  1 In 1.82
H: 0.2587 0.7701 0.5000  1 In 1.82
H: 0.3425 0.7660 0.1225  1 In 1.86
H: 0.3425 0.7660 0.8775  1 In 1.86
H: 0.8425 0.7340 0.6225  1 In 1.86
H: 0.8425 0.7340 0.3775  1 In 1.86
H: 0.7587 0.7299 0.0000  1 In 1.82

No. 5
# CsInH3

A relaxed CsInH3 crystal (GGA-PBE, Alexandria).

## Properties
space-group type	R-3m, No. 166
D(E_F)	0.3	states/eV/f.u.
density	3.3	g/cm3
raw total energy	-2.65	eV/atom

a = 7.8708 Å, b = 7.8708 Å, c = 7.8708 Å
α = 48.35°, β = 48.35°, γ = 48.35°
With the nearest neighbours (Å) after each atom.
Sites, in units of the cell vectors:
Cs: 0.2796 0.2796 0.2796  9 H 3.12-3.23
Cs: 0.7204 0.7204 0.7204  9 H 3.12-3.23
In: 0.0875 0.0875 0.0875  3 H 1.79
In: 0.9125 0.9125 0.9125  3 H 1.79
H: 0.2128 0.2128 0.7557  1 In 1.79
H: 0.2128 0.7557 0.2128  1 In 1.79
H: 0.2443 0.7872 0.7872  1 In 1.79
H: 0.7872 0.2443 0.7872  1 In 1.79
H: 0.7872 0.7872 0.2443  1 In 1.79
H: 0.7557 0.2128 0.2128  1 In 1.79

No. 6
# Cs3In2H4

A relaxed Cs3In2H4 crystal (GGA-PBE, Alexandria).

## Properties
space-group type	C2/c, No. 15
D(E_F)	2.4	states/eV/f.u.
density	3.7	g/cm3
raw total energy	-2.50	eV/atom

a = 11.4251 Å, b = 7.1257 Å, c = 8.1999 Å
α = 115.75°, β = 71.50°, γ = 90.00°
With the nearest neighbours (Å) after each atom.
Sites, in units of the cell vectors:
Cs: 0.1559 0.6629 0.7118  4 H 2.99-3.29
Cs: 0.3441 0.9512 0.2882  4 H 2.99-3.29
Cs: 0.8441 0.3371 0.2882  4 H 2.99-3.29
Cs: 0.6559 0.0488 0.7118  4 H 2.99-3.29
Cs: 0.7500 0.7224 0.0000  4 H 2.92-3.19
Cs: 0.2500 0.2776 0.0000  4 H 2.92-3.19
In: 0.5065 0.4549 0.3008  2 H 1.90-1.91
In: 0.9935 0.1540 0.6992  2 H 1.90-1.91
In: 0.4935 0.5451 0.6992  2 H 1.90-1.91
In: 0.0065 0.8460 0.3008  2 H 1.90-1.91
H: 0.4132 0.8328 0.8488  1 In 1.91
H: 0.0868 0.9840 0.1512  1 In 1.91
H: 0.5868 0.1672 0.1512  1 In 1.91
H: 0.9132 0.0160 0.8488  1 In 1.91
H: 0.8449 0.9313 0.3150  1 In 1.90
H: 0.6551 0.6162 0.6850  1 In 1.90
H: 0.1551 0.0687 0.6850  1 In 1.90
H: 0.3449 0.3838 0.3150  1 In 1.90

No. 7
# Cs2InH

A relaxed Cs2InH crystal (GGA-PBE, Alexandria).

## Properties
offset from the most stable computed form	0.00	eV/f.u.
space-group type	R-3m, No. 166
D(E_F)	2.1	states/eV/f.u.
density	3.8	g/cm3
raw total energy	-1.80	eV/atom

a = 4.1410 Å, b = 4.1410 Å, c = 11.5754 Å
α = 79.70°, β = 79.70°, γ = 60.00°
With the nearest neighbours (Å) after each atom.
Sites, in units of the cell vectors:
Cs: 0.1114 0.1114 0.6659  3 H 3.04
Cs: 0.8886 0.8886 0.3341  3 H 3.04
H: 0.5000 0.5000 0.5000  6 Cs 3.04
In: 0.0000 0.0000 0.0000  2 Cs 3.78, 6 In 4.14

No. 8
# Cs2InH6

A relaxed Cs2InH6 crystal (GGA-PBE, Alexandria).

## Properties
offset from the most stable computed form	0.03	eV/f.u.
space-group type	P6_3mc, No. 186
D(E_F)	2.9	states/eV/f.u.
density	3.7	g/cm3
raw total energy	-2.61	eV/atom

a = 6.1925 Å, b = 6.1925 Å, c = 10.3592 Å
α = 90.00°, β = 90.00°, γ = 120.00°
With the nearest neighbours (Å) after each atom.
Sites, in units of the cell vectors:
Cs: 0.0000 0.0000 0.6038  12 H 3.14-3.27
Cs: 0.0000 0.0000 0.1038  12 H 3.14-3.27
Cs: 0.3333 0.6667 0.8812  12 H 3.11-3.16
Cs: 0.6667 0.3333 0.3812  12 H 3.11-3.16
In: 0.3333 0.6667 0.2573  6 H 1.90-1.92
In: 0.6667 0.3333 0.7573  6 H 1.90-1.92
H: 0.4776 0.9552 0.1470  1 In 1.92
H: 0.5224 0.4776 0.6470  1 In 1.92
H: 0.9552 0.4776 0.6470  1 In 1.92
H: 0.0448 0.5224 0.1470  1 In 1.92
H: 0.4776 0.5224 0.1470  1 In 1.92
H: 0.5224 0.0448 0.6470  1 In 1.92
H: 0.8166 0.6332 0.8556  1 In 1.90
H: 0.1834 0.8166 0.3556  1 In 1.90
H: 0.6332 0.8166 0.3556  1 In 1.90
H: 0.3668 0.1834 0.8556  1 In 1.90
H: 0.8166 0.1834 0.8556  1 In 1.90
H: 0.1834 0.3668 0.3556  1 In 1.90